(1)
# Li5FeO3F2

A relaxed structure of Li5FeO3F2 (PBEsol, Alexandria via LeMat-Bulk).

a = 3.6966 Å, b = 5.2857 Å, c = 6.2208 Å
α = 109.90°, β = 90.00°, γ = 110.47°
Last column: magnetic moment on the atom in μB.
Sites, in units of the cell vectors:
Fe 0.0008 0.0016 0.0464  3.90
O 0.5030 0.0059 0.9502  0.27
O 0.8484 0.6968 0.1568  0.22
O 0.1595 0.3189 0.3245  0.26
Li 0.6711 0.3423 0.8735  0.00
Li 0.3074 0.6147 0.1218  0.00
Li 0.7149 0.4299 0.3208  0.01
Li 0.0128 0.0256 0.4782  0.00
Li 0.3234 0.6469 0.6563  0.00
F 0.1746 0.3492 0.7870  0.01
F 0.8666 0.7332 0.6149  0.02

As for the space-group type: Cm. The energy relative to the elements, uncorrected is -2203 kJ/mol of formula units.



(2)
# PC

A relaxed structure of PC (PBEsol, Alexandria via LeMat-Bulk).

a = 2.8517 Å, b = 2.8517 Å, c = 5.0464 Å
α = 90.00°, β = 90.00°, γ = 120.00°
Sites, in units of the cell vectors:
P 0.0000 0.0000 0.0000
P 0.0000 0.0000 0.5000
C 0.3333 0.6667 0.2500
C 0.6667 0.3333 0.7500

The polymorph energy (0 for the lowest one) is 0.026 eV per atom. For the density of states at the Fermi level, the calculation gives 0.115 states/eV per atom. As for the space-group type: P6_3/mmc. As for the formation energy: 1.18 eV/atom.



(3)
# CaTl4Te

A relaxed structure of CaTl4Te (PBEsol, Alexandria via LeMat-Bulk).

a = 6.2983 Å, b = 6.2983 Å, c = 6.2983 Å
α = 60.00°, β = 60.00°, γ = 60.00°
Sites, in units of the cell vectors:
Tl 0.3750 0.3750 0.8751
Tl 0.8751 0.3750 0.3750
Tl 0.3750 0.3750 0.3750
Tl 0.3750 0.8751 0.3750
Te 0.0000 0.0000 0.0000
Ca 0.7500 0.7500 0.7500

For the density of states at the Fermi level, the calculation gives 0.805 states/eV per atom. As for the space-group type: F-43m. The energy relative to the elements, uncorrected is -75 kJ/mol of formula units.



(4)
# Nb3PdCl

A relaxed structure of Nb3PdCl (PBEsol, Alexandria via LeMat-Bulk).

a = 4.4812 Å, b = 4.4812 Å, c = 4.4812 Å
α = 90.00°, β = 90.00°, γ = 90.00°
Sites, in units of the cell vectors:
Nb 0.0000 0.5000 0.0000
Nb 0.5000 0.0000 0.0000
Nb 0.0000 0.0000 0.5000
Cl 0.0000 0.0000 0.0000
Pd 0.5000 0.5000 0.5000

For the density of states at the Fermi level, the calculation gives 1.324 states/eV per atom. As for the space-group type: Pm-3m. The energy relative to the elements, uncorrected is 288 kJ/mol of formula units.



(5)
# ErHg2

A relaxed structure of ErHg2 (PBEsol, Alexandria via LeMat-Bulk).

a = 3.3346 Å, b = 4.8302 Å, c = 4.8302 Å
α = 120.00°, β = 90.00°, γ = 90.00°
Sites, in units of the cell vectors:
Hg 0.5000 0.6667 0.3333
Hg 0.5000 0.3333 0.6667
Er 0.0000 0.0000 0.0000

For the density of states at the Fermi level, the calculation gives 0.554 states/eV per atom. As for the space-group type: P6/mmm. As for the formation energy: -0.49 eV/atom.



(6)
# ZrBeB2Rh

A relaxed structure of ZrBeB2Rh (PBEsol, Alexandria via LeMat-Bulk).

a = 3.9745 Å, b = 3.9745 Å, c = 5.0007 Å
α = 90.00°, β = 90.00°, γ = 90.00°
Sites, in units of the cell vectors:
B 0.0000 0.5000 0.0000
B 0.5000 0.0000 0.0000
Rh 0.0000 0.0000 0.0000
Zr 0.0000 0.0000 0.5000
Be 0.5000 0.5000 0.5000

For the density of states at the Fermi level, the calculation gives 0.690 states/eV per atom. As for the space-group type: P4/mmm. As for the formation energy: 0.89 eV/atom.



(7)
# MgCo4Ge6

A relaxed structure of MgCo4Ge6 (PBEsol, Alexandria via LeMat-Bulk).

a = 6.0773 Å, b = 6.0773 Å, c = 6.0773 Å
α = 90.06°, β = 119.97°, γ = 119.97°
Sites, in units of the cell vectors:
Ge 0.0000 0.5382 0.8745
Ge 0.5000 0.5000 0.0000
Ge 0.6637 0.1255 0.1255
Ge 0.3363 0.4618 0.4618
Ge 0.0000 0.8745 0.5382
Ge 0.5000 0.0000 0.5000
Co 0.6414 0.3991 0.3991
Co 0.0000 0.6009 0.2423
Co 0.3586 0.7577 0.7577
Co 0.0000 0.2423 0.6009
Mg 0.0000 0.0000 0.0000

For the density of states at the Fermi level, the calculation gives 0.278 states/eV per atom. As for the space-group type: I-42m. As for the formation energy: -0.33 eV/atom.



(8)
# LaZrIn2

A relaxed structure of LaZrIn2 (PBEsol, Alexandria via LeMat-Bulk).

a = 3.2699 Å, b = 3.2699 Å, c = 9.0600 Å
α = 90.00°, β = 90.00°, γ = 90.00°
Sites, in units of the cell vectors:
In 0.0000 0.0000 0.7279
In 0.0000 0.0000 0.2721
Zr 0.5000 0.5000 0.5000
La 0.5000 0.5000 0.0000

For the density of states at the Fermi level, the calculation gives 0.886 states/eV per atom. As for the space-group type: P4/mmm. As for the formation energy: -0.42 eV/atom.



Listing uncorrected energy for the structures above in their given order: -5.5663 -6.5415 -2.8261 -7.4883 -2.5143 -6.1583 -5.9921 -5.5190 eV per atom.
Listing spin magnetization for the structures above in their given order: 5.00 0.00 0.00 0.00 0.00 0.00 0.00 0.00 μB/cell.